A plane-wave DFT calculation with PBE+U was carried out for SmCo3Rh4O12 after structural relaxation.

CIF file:
```
data_SmCo3Rh4O12
_chemical_formula_sum 'Sm1 Co3 Rh4 O12'
_cell_length_a 6.545
_cell_length_b 6.545
_cell_length_c 6.545
_cell_angle_alpha 109.47
_cell_angle_beta 109.47
_cell_angle_gamma 109.47
_symmetry_space_group_name_H-M 'P 1'
_symmetry_Int_Tables_number 1
loop_
_symmetry_equiv_pos_as_xyz
'x,y,z'
loop_
_atom_site_label
_atom_site_fract_x
_atom_site_fract_y
_atom_site_fract_z
_atom_site_occupancy
O1 0.694 0.832 0.526 1
O2 0.862 0.694 0.168 1
O3 0.306 0.832 0.138 1
O4 0.138 0.306 0.832 1
O5 0.832 0.526 0.694 1
O6 0.306 0.168 0.474 1
O7 0.168 0.474 0.306 1
O8 0.694 0.168 0.862 1
O9 0.526 0.694 0.832 1
O10 0.832 0.138 0.306 1
O11 0.168 0.862 0.694 1
O12 0.474 0.306 0.168 1
Rh1 0.500 0.000 0.000 1
Rh2 0.000 0.500 0.000 1
Rh3 0.500 0.500 0.500 1
Rh4 0.000 0.000 0.500 1
Co1 0.000 0.500 0.500 1
Co2 0.500 0.500 0.000 1
Co3 0.500 0.000 0.500 1
Sm1 0.000 0.000 0.000 1
```

As for the calculated density: 7.16 g cm⁻³. As for the space-group type: Im-3, No. 204. The uncorrected energy is -6.5689 eV per atom.